Record 1
A plane-wave DFT calculation with PBE was carried out for a geometry-optimized Cs4Tl3SnBr12 structure.

Lattice parameters (Å, degrees): 10.2027 10.2027 10.2027 109.47 109.47 109.47
Fractional positions:
Tl  0.5000  0.0000  0.5000
Sn  0.0000  0.0000  0.0000
Cs  0.5000  0.0000  0.0000
Cs  0.0000  0.5000  0.0000
Br  0.0000  0.7620  0.7620
Br  0.0000  0.2380  0.2380
Br  0.7500  0.5000  0.2500
Cs  0.0000  0.0000  0.5000
Tl  0.0000  0.5000  0.5000
Br  0.2500  0.5000  0.7500
Cs  0.5000  0.5000  0.5000
Br  0.7620  0.0000  0.7620
Br  0.2380  0.0000  0.2380
Br  0.7620  0.7620  0.0000
Br  0.5000  0.7500  0.2500
Tl  0.5000  0.5000  0.0000
Br  0.2380  0.2380  0.0000
Br  0.7500  0.2500  0.5000
Br  0.2500  0.7500  0.5000
Br  0.5000  0.2500  0.7500

Total magnetization ... 0.00 μB/f.u.
Formation energy without anion corrections ... -1.1408 eV per atom
Crystal system ... cubic
Raw total energy ... -57.41 eV for the cell shown



Record 2
A plane-wave DFT calculation with PBE was carried out for a geometry-optimized Cs2TlSn2Br7 structure.

Lattice parameters (Å, degrees): 5.8546 5.8546 15.3956 79.02 79.02 90.00
Fractional positions:
Br  0.5000  0.5000  0.0000
Sn  0.4011  0.4011  0.1988
Br  0.4071  0.9072  0.1867
Cs  0.1800  0.1800  0.6407
Br  0.5929  0.0928  0.8133
Br  0.0928  0.5929  0.8133
Cs  0.8200  0.8200  0.3593
Sn  0.5989  0.5989  0.8012
Tl  0.0000  0.0000  0.0000
Br  0.9072  0.4071  0.1867
Br  0.3024  0.3024  0.3971
Br  0.6976  0.6976  0.6029

Total magnetization ... 0.00 μB/f.u.
Formation energy without anion corrections ... -1.1214 eV per atom
Crystal system ... monoclinic
Raw total energy ... -37.25 eV for the cell shown